# Tb3Pm2Tm6Pu, optimized geometry, DFT PBE-GGA
data_Tb3Pm2Tm6Pu
_symmetry_space_group_name_H-M 'P 1'
_symmetry_Int_Tables_number 1
_cell_length_a 6.113
_cell_length_b 6.113
_cell_length_c 11.601
_cell_angle_alpha 95.05
_cell_angle_beta 95.05
_cell_angle_gamma 120.02
loop_
_symmetry_equiv_pos_as_xyz
'x,y,z'
loop_
_atom_site_label
_atom_site_type_symbol
_atom_site_fract_x
_atom_site_fract_y
_atom_site_fract_z
Tb1 Tb 0.000 0.000 0.000
Tb2 Tb 0.333 0.667 0.000
Tb3 Tb 0.667 0.333 0.000
Pm1 Pm 0.167 0.833 0.500
Pm2 Pm 0.833 0.167 0.500
Tm1 Tm 0.088 0.417 0.250
Tm2 Tm 0.254 0.254 0.750
Tm3 Tm 0.417 0.088 0.250
Tm4 Tm 0.583 0.912 0.750
Tm5 Tm 0.746 0.746 0.250
Tm6 Tm 0.912 0.583 0.750
Pu1 Pu 0.500 0.500 0.500
# **Volume**: 369.47 Å³/f.u.
# **Total magnetic moment**: 6.320 μB per cell
# **ΔH_f (0 K)**: 0.045 eV/atom
# **N(E_F)**: 23.4 states/eV/f.u.